(1)
Density functional theory data (PBE-GGA) for an optimized crystal structure of YThAgRu.

a b c (Å): 7.1811 7.1811 7.1811
angles (deg): 90.00 90.00 90.00
Last column: nearest neighbours and their distance in Å.
Space group F-43m (No. 216)
Inequivalent atoms, fractional coordinates:
Y: 0.0000 0.0000 0.0000  4 Ag 3.11, 4 Ru 3.11
Th: 0.0000 0.0000 0.5000  4 Ru 3.11, 4 Ag 3.11
Ag: 0.2500 0.2500 0.7500  4 Th 3.11, 4 Y 3.11
Ru: 0.2500 0.2500 0.2500  4 Y 3.11, 4 Th 3.11

(2)
Density functional theory data (PBE-GGA) for an optimized crystal structure of TaSb2P.

a b c (Å): 3.6204 3.8077 13.9714
angles (deg): 90.00 90.00 90.00
Last column: nearest neighbours and their distance in Å.
Space group Imm2 (No. 44)
Inequivalent atoms, fractional coordinates:
Ta: 0.0000 0.0000 0.0000  2 P 2.54
Sb: 0.0000 0.0000 0.5933  4 Ta 2.93
Sb: 0.0000 0.5000 0.8259  4 P 2.71
P: 0.0000 0.5000 0.3725  2 Ta 2.54, 4 Sb 2.71

Computed properties:
The energy relative to the elements, uncorrected is 0.24 eV/f.u.

(3)
Density functional theory data (PBE-GGA) for an optimized crystal structure of Nd2AsPb.

a b c (Å): 4.1134 4.1134 25.2785
angles (deg): 90.00 90.00 120.00
Last column: nearest neighbours and their distance in Å.
Space group R3m (No. 160, hexagonal axes)
Inequivalent atoms, fractional coordinates:
Nd: 0.0000 0.0000 0.0000  3 As 2.95
Nd: 0.0000 0.0000 0.1968  3 As 2.93
As: 0.0000 0.0000 0.5977  6 Nd 2.93-2.95
Pb: 0.0000 0.0000 0.7658  6 Nd 3.43-3.45

Computed properties:
For the offset from the most stable computed form, the calculation gives 53.0 meV/atom.

(4)
Density functional theory data (PBE-GGA) for an optimized crystal structure of TcGeS2Cl.

a b c (Å): 4.7934 4.7934 4.7778
angles (deg): 90.00 90.00 90.00
Last column: nearest neighbours and their distance in Å.
Space group P4/mmm (No. 123)
Inequivalent atoms, fractional coordinates:
Tc: 0.0000 0.0000 0.0000  8 S 3.38, 4 Cl 3.39
Ge: 0.5000 0.5000 0.5000  2 Cl 2.39, 4 S 2.40
S: 0.0000 0.5000 0.5000  2 Ge 2.40
Cl: 0.5000 0.5000 0.0000  2 Ge 2.39

Computed properties:
For the offset from the most stable computed form, the calculation gives 458.1 meV/atom. The energy relative to the elements, uncorrected is 3.36 eV/f.u.

(5)
Density functional theory data (PBE-GGA) for an optimized crystal structure of TiTcP.

a b c (Å): 3.0382 3.1023 9.4522
angles (deg): 90.00 90.00 90.00
Last column: nearest neighbours and their distance in Å.
Space group Amm2 (No. 38)
Inequivalent atoms, fractional coordinates:
Ti: 0.0000 0.0000 0.0000  2 P 2.45
Tc: 0.5000 0.0000 0.3095  4 P 2.40
P: 0.0000 0.0000 0.7003  4 Tc 2.40, 2 Ti 2.45

Computed properties:
For the offset from the most stable computed form, the calculation gives 281.7 meV/atom.

(6)
Density functional theory data (PBE-GGA) for an optimized crystal structure of Tb2SnGePd6.

a b c (Å): 11.6907 5.4967 7.9185
angles (deg): 90.00 130.70 90.00
Last column: nearest neighbours and their distance in Å.
Space group C2/m (No. 12)
Inequivalent atoms, fractional coordinates:
Tb: 0.0016 0.0000 0.2491  5 Pd 2.84-3.10
Sn: 0.0000 0.5000 0.5000  6 Pd 2.62-2.71
Ge: 0.0000 0.5000 0.0000  6 Pd 2.48-2.59
Pd: 0.1808 0.5000 0.9356  1 Ge 2.48, 1 Sn 2.62
Pd: 0.2409 0.2527 0.3020  1 Ge 2.59, 1 Sn 2.71, 3 Pd 2.72-2.85, 1 Tb 2.90

(7)
Density functional theory data (PBE-GGA) for an optimized crystal structure of K2SmUS6.

a b c (Å): 7.4251 7.4435 12.8856
angles (deg): 90.00 125.13 90.00
Last column: nearest neighbours and their distance in Å.
Space group P2_1/c (No. 14)
Inequivalent atoms, fractional coordinates:
K: 0.2475 0.0143 0.2501  9 S 3.46-3.87
Sm: 0.5000 0.0000 0.0000  6 S 2.75-2.76
U: 0.0000 0.0000 0.5000  6 S 2.54
S: 0.1981 0.2359 0.9831  1 U 2.54, 1 Sm 2.76
S: 0.2477 0.7153 0.9838  1 U 2.54, 1 Sm 2.76
S: 0.2720 0.0042 0.7398  1 U 2.54, 1 Sm 2.75

Computed properties:
The energy relative to the elements, uncorrected is -13.14 eV/f.u.

(8)
Density functional theory data (PBE-GGA) for an optimized crystal structure of Ac3As2Pt9Au.

a b c (Å): 6.4008 6.4008 10.1435
angles (deg): 90.00 90.00 120.00
Last column: nearest neighbours and their distance in Å.
Space group P-3m1 (No. 164)
Inequivalent atoms, fractional coordinates:
Ac: 0.0000 0.0000 0.0000  12 Pt 3.20-3.25
Ac: 0.3333 0.6667 0.7181  9 Pt 3.21-3.40
As: 0.3333 0.6667 0.1737  6 Pt 2.38-2.55
Pt: 0.0000 0.5000 0.0000  2 As 2.55
Pt: 0.1418 0.2837 0.2799  1 As 2.38
Au: 0.0000 0.0000 0.5000  6 Pt 2.73

(9)
Density functional theory data (PBE-GGA) for an optimized crystal structure of ErSnPd.

a b c (Å): 7.6295 7.6295 3.8566
angles (deg): 90.00 90.00 120.00
Last column: nearest neighbours and their distance in Å.
Space group P-62m (No. 189)
Inequivalent atoms, fractional coordinates:
Er: 0.0000 0.5980 0.0000  5 Pd 3.02-3.07, 6 Sn 3.20-3.32
Sn: 0.0000 0.2635 0.5000  4 Pd 2.79-2.85
Pd: 0.0000 0.0000 0.0000  6 Sn 2.79, 3 Er 3.07
Pd: 0.3333 0.6667 0.5000  3 Sn 2.85, 6 Er 3.02

(10)
Density functional theory data (PBE-GGA) for an optimized crystal structure of FeCu2TeRh.

a b c (Å): 4.4754 4.4754 4.5976
angles (deg): 90.00 90.00 90.00
Last column: nearest neighbours and their distance in Å.
Space group P4/mmm (No. 123)
Inequivalent atoms, fractional coordinates:
Fe: 0.0000 0.0000 0.0000  4 Cu 2.24, 2 Rh 2.30
Cu: 0.0000 0.5000 0.0000  2 Fe 2.24
Te: 0.5000 0.5000 0.5000  4 Rh 3.16, 8 Cu 3.21
Rh: 0.0000 0.0000 0.5000  2 Fe 2.30

Computed properties:
The energy relative to the elements, uncorrected is 3.95 eV/f.u.

(11)
Density functional theory data (PBE-GGA) for an optimized crystal structure of Ce5SiOs2.

a b c (Å): 4.4251 10.9490 15.5778
angles (deg): 90.00 90.00 90.00
Last column: nearest neighbours and their distance in Å.
Space group Cmcm (No. 63)
Inequivalent atoms, fractional coordinates:
Ce: 0.0000 0.0850 0.1126  2 Os 2.91, 2 Ce 3.03, 2 Si 3.22
Ce: 0.0000 0.2138 0.7500  2 Os 2.78
Ce: 0.0000 0.4036 0.0748  3 Os 2.79-2.84, 1 Si 2.93, 2 Ce 3.03
Si: 0.0000 0.4998 0.2500  9 Ce 2.93-3.22
Os: 0.0000 0.2518 0.5733  6 Ce 2.78-2.91

Computed properties:
For the offset from the most stable computed form, the calculation gives 0.0 meV/atom. The energy relative to the elements, uncorrected is -2.27 eV/f.u.

no.,electronic total energy (hartree per atom)
1,-0.2483
2,-0.2322
3,-0.1991
4,-0.1596
5,-0.3165
6,-0.2053
7,-0.2062
8,-0.2171
9,-0.2028
10,-0.1705
11,-0.2748